Material: RuI2N6
Method: DFT, GGA-PBE
State: relaxed

Calculated values
* formation energy from raw total energies: 2499 meV per atom
* E: -0.163 Ha/atom
* energy above the most stable polymorph in this dataset: 5.86 eV/f.u.
* space-group type: Fm-3m

Unit cell a=5.7389 b=5.7389 c=5.7389 alpha=60.00 beta=60.00 gamma=60.00
With the nearest neighbours (Å) after each atom.
Fractional positions:
Ru1 0.0000 0.0000 0.0000  6 N 1.95
I1 0.7500 0.7500 0.7500  12 N 2.87
I2 0.2500 0.2500 0.2500  12 N 2.87
N1 0.2398 0.7602 0.7602  1 Ru 1.95
N2 0.2398 0.2398 0.7602  1 Ru 1.95
N3 0.2398 0.7602 0.2398  1 Ru 1.95
N4 0.7602 0.2398 0.2398  1 Ru 1.95
N5 0.7602 0.7602 0.2398  1 Ru 1.95
N6 0.7602 0.2398 0.7602  1 Ru 1.95